(1)
# ThI2O8

Crystalline ThI2O8 at its relaxed geometry (PBE, Alexandria).

Computed properties:
Crystal system: trigonal
Uncorrected energy in Ry/atom: -0.4067
E_form (uncorrected) in eV/atom: -0.971

a b c (Å): 6.5588 6.5588 5.8842
angles (deg): 90.00 90.00 120.00
Space group P-3m1 (No. 164)
Asymmetric unit:
Th1 0.0000 0.0000 0.0000 (multiplicity 1)
I1 0.3333 0.6667 0.2848 (multiplicity 2)
O1 0.1681 0.3362 0.2182 (multiplicity 6)
O2 0.3333 0.6667 0.5870 (multiplicity 2)


(2)
# La6PmIn2

Crystalline La6PmIn2 at its relaxed geometry (PBE, Alexandria).

Computed properties:
ΔH_f (0 K) in meV per atom: -167
Crystal system: hexagonal
Uncorrected energy in Ry/atom: -0.3372
Polymorph energy (0 for the lowest one) in meV/atom: 56

a b c (Å): 8.4401 8.4401 5.0696
angles (deg): 90.00 90.00 120.00
Space group P-62m (No. 189)
Asymmetric unit:
La1 0.0000 0.2505 0.0000 (multiplicity 3)
La2 0.0000 0.5713 0.5000 (multiplicity 3)
Pm1 0.0000 0.0000 0.5000 (multiplicity 1)
In1 0.3333 0.6667 0.0000 (multiplicity 2)


(3)
# MgCrTe2Pd

Crystalline MgCrTe2Pd at its relaxed geometry (PBE, Alexandria).

Computed properties:
Crystal system: tetragonal
Uncorrected energy in Ry/atom: -0.3092
E_form (uncorrected) in eV/atom: 0.332

a b c (Å): 5.316 5.316 4.910
angles (deg): 90.00 90.00 90.00
Space group P4/mmm (No. 123)
Asymmetric unit:
Mg1 0.000 0.000 0.000 (multiplicity 1)
Cr1 0.500 0.500 0.000 (multiplicity 1)
Te1 0.000 0.500 0.500 (multiplicity 2)
Pd1 0.500 0.500 0.500 (multiplicity 1)


(4)
# CrNiP2S

Crystalline CrNiP2S at its relaxed geometry (PBE, Alexandria).

Computed properties:
Crystal system: tetragonal
Uncorrected energy in Ry/atom: -0.3957
E_form (uncorrected) in eV/atom: 0.687
Polymorph energy (0 for the lowest one) in meV/atom: 91

a b c (Å): 4.436 4.436 4.314
angles (deg): 90.00 90.00 90.00
Space group P4/mmm (No. 123)
Asymmetric unit:
Cr1 0.000 0.000 0.000 (multiplicity 1)
Ni1 0.500 0.500 0.500 (multiplicity 1)
P1 0.000 0.500 0.000 (multiplicity 2)
S1 0.000 0.000 0.500 (multiplicity 1)


(5)
# NaSc4PaS8

Crystalline NaSc4PaS8 at its relaxed geometry (PBE, Alexandria).

Computed properties:
Crystal system: trigonal
Uncorrected energy in Ry/atom: -0.4887
E_form (uncorrected) in eV/atom: -1.709

a b c (Å): 7.6882 7.6882 19.3841
angles (deg): 90.00 90.00 120.00
Space group R3m (No. 160, hexagonal axes)
Asymmetric unit:
Na1 0.0000 0.0000 0.0000 (multiplicity 3)
Sc1 0.0000 0.0000 0.2598 (multiplicity 3)
Sc2 0.1714 0.3427 0.4631 (multiplicity 9)
Pa1 0.0000 0.0000 0.6326 (multiplicity 3)
S1 0.0000 0.0000 0.3899 (multiplicity 3)
S2 0.0000 0.0000 0.8660 (multiplicity 3)
S3 0.0271 0.5135 0.3879 (multiplicity 9)
S4 0.1723 0.3445 0.2083 (multiplicity 9)


(6)
# ZrCd2Rh2

Crystalline ZrCd2Rh2 at its relaxed geometry (PBE, Alexandria).

Computed properties:
ΔH_f (0 K) in meV per atom: -129
Crystal system: tetragonal
Uncorrected energy in Ry/atom: -0.3782
Polymorph energy (0 for the lowest one) in meV/atom: 139

a b c (Å): 7.732 7.732 3.059
angles (deg): 90.00 90.00 90.00
Space group P4/mbm (No. 127)
Asymmetric unit:
Zr1 0.000 0.000 0.000 (multiplicity 2)
Cd1 0.125 0.375 0.000 (multiplicity 4)
Rh1 0.175 0.675 0.500 (multiplicity 4)


(7)
# Ti2PdRhF

Crystalline Ti2PdRhF at its relaxed geometry (PBE, Alexandria).

Computed properties:
Crystal system: tetragonal
Uncorrected energy in Ry/atom: -0.4811
E_form (uncorrected) in eV/atom: -0.505

a b c (Å): 4.097 4.097 4.299
angles (deg): 90.00 90.00 90.00
Space group P4/mmm (No. 123)
Asymmetric unit:
Ti1 0.000 0.500 0.000 (multiplicity 2)
Pd1 0.000 0.000 0.500 (multiplicity 1)
Rh1 0.500 0.500 0.500 (multiplicity 1)
F1 0.500 0.500 0.000 (multiplicity 1)


(8)
# Pr12Dy6In

Crystalline Pr12Dy6In at its relaxed geometry (PBE, Alexandria).

Computed properties:
ΔH_f (0 K) in meV per atom: 59
Crystal system: trigonal
Uncorrected energy in Ry/atom: -0.3350

a b c (Å): 12.1438 12.1438 15.4522
angles (deg): 90.00 90.00 120.00
Space group R-3 (No. 148, hexagonal axes)
Asymmetric unit:
Pr1 0.0082 0.8308 0.3133 (multiplicity 18)
Pr2 0.0478 0.2014 0.9151 (multiplicity 18)
Dy1 0.0262 0.5905 0.1911 (multiplicity 18)
In1 0.0000 0.0000 0.5000 (multiplicity 3)


| no. | theoretical density (g/cm3) |
| --- | --- |
| 1 | 4.65 |
| 2 | 6.41 |
| 3 | 5.24 |
| 4 | 4.00 |
| 5 | 3.47 |
| 6 | 9.48 |
| 7 | 7.46 |
| 8 | 7.02 |